Here is crystalline InGaPt2 at its relaxed geometry from the Alexandria database. Energies are from PBE-GGA.

Values from the calculation:
**Energy of formation from the pure elements**: -0.0727 eV per atom
**Space group**: I-42d, No. 122
**VASP energy**: -36.3 eV/cell
**Crystal system**: tetragonal

Unit cell a=6.116 b=6.116 c=6.874 alpha=63.59 beta=63.59 gamma=90.00
Positions (direct):
1 Ga 0.500 0.500 0.000
2 Pt 0.595 0.125 0.250
3 In 0.000 0.000 0.000
4 Pt 0.155 0.625 0.250
5 Pt 0.375 0.405 0.750
6 Ga 0.250 0.750 0.500
7 Pt 0.875 0.845 0.750
8 In 0.750 0.250 0.500